The following is a DFT calculation (GGA-PBE) of crystalline TiAu3I at its relaxed geometry.

As for the total energy: -16.00 eV for the cell shown. The crystal system is cubic. The value obtained for the energy relative to the lowest polymorph listed for this composition is 0.0000 eV per atom. Its spin magnetization is 0.00 Bohr magnetons per cell. As for the density of states at the Fermi level: 7.439 states/eV/f.u. The formation energy from raw total energies comes out at 0.656 eV/atom. The volume is 26.68 A^3/atom. Its space group is No. 221.

Unit cell a=5.109 b=5.109 c=5.109 alpha=90.00 beta=90.00 gamma=90.00
Fractional positions:
Ti1 0.000 0.000 0.000
Au1 0.000 0.000 0.500
Au2 0.000 0.500 0.000
Au3 0.500 0.000 0.000
I1 0.500 0.500 0.500